(1)
# Cs2Ni3S4 PBE optimized geometry
data_Cs2Ni3S4
_cell_length_a 9.0806
_cell_length_b 9.0806
_cell_length_c 9.0806
_cell_angle_alpha 144.15
_cell_angle_beta 104.48
_cell_angle_gamma 86.53
_symmetry_space_group_name_H-M 'P 1'
_symmetry_Int_Tables_number 1
_symmetry_space_group_name_Hall 'P 1'
loop_
_atom_site_label
_atom_site_type_symbol
_atom_site_fract_x
_atom_site_fract_y
_atom_site_fract_z
_atom_site_occupancy
S1 S 0.9590 0.5698 0.8672 1
S2 S 0.5410 0.4081 0.6108 1
Cs1 Cs 0.8767 0.7602 0.6370 1
S3 S 0.7027 0.0919 0.1328 1
S4 S 0.0410 0.4302 0.1328 1
Ni1 Ni 0.5046 0.7500 0.7546 1
Ni2 Ni 0.9954 0.7500 0.2454 1
S5 S 0.2973 0.9081 0.8672 1
S6 S 0.7973 0.9302 0.3892 1
S7 S 0.4590 0.5919 0.3892 1
Cs2 Cs 0.6233 0.2602 0.8835 1
Cs3 Cs 0.1233 0.2398 0.3630 1
Ni3 Ni 0.7500 0.2500 0.5000 1
Cs4 Cs 0.3767 0.7398 0.1165 1
S8 S 0.2027 0.0698 0.6108 1
Ni4 Ni 0.4954 0.2500 0.2454 1
Ni5 Ni 0.0046 0.2500 0.7546 1
Ni6 Ni 0.2500 0.7500 0.5000 1
# E (eV per cell): -81.11
# Crystal system: orthorhombic
# Size of the total moment (μB per cell): 0.1


(2)
# SrPr2Hg3PdAu2 PBE optimized geometry
data_SrPr2Hg3PdAu2
_cell_length_a 4.0041
_cell_length_b 8.0565
_cell_length_c 8.0565
_cell_angle_alpha 120.03
_cell_angle_beta 90.00
_cell_angle_gamma 90.00
_symmetry_space_group_name_H-M 'P 1'
_symmetry_Int_Tables_number 1
_symmetry_space_group_name_Hall 'P 1'
loop_
_atom_site_label
_atom_site_type_symbol
_atom_site_fract_x
_atom_site_fract_y
_atom_site_fract_z
_atom_site_occupancy
Pd1 Pd 0.0000 0.9968 0.9968 1
Hg1 Hg 0.5000 0.7422 0.7422 1
Au1 Au 0.5000 0.3327 0.6726 1
Au2 Au 0.5000 0.6726 0.3327 1
Sr1 Sr 0.0000 0.3950 0.3950 1
Hg2 Hg 0.5000 0.2569 0.9992 1
Pr1 Pr 0.0000 0.9996 0.6050 1
Hg3 Hg 0.5000 0.9992 0.2569 1
Pr2 Pr 0.0000 0.6050 0.9996 1
# E (eV per cell): -29.58
# Crystal system: orthorhombic
# Size of the total moment (μB per cell): 0.0


(3)
# ErMgMo PBE optimized geometry
data_ErMgMo
_cell_length_a 4.8403
_cell_length_b 4.8403
_cell_length_c 4.8403
_cell_angle_alpha 60.00
_cell_angle_beta 60.00
_cell_angle_gamma 60.00
_symmetry_space_group_name_H-M 'P 1'
_symmetry_Int_Tables_number 1
_symmetry_space_group_name_Hall 'P 1'
loop_
_atom_site_label
_atom_site_type_symbol
_atom_site_fract_x
_atom_site_fract_y
_atom_site_fract_z
_atom_site_occupancy
Mo1 Mo 0.7500 0.7500 0.7500 1
Er1 Er 0.0000 0.0000 0.0000 1
Mg1 Mg 0.2500 0.2500 0.2500 1
# Excess energy over the best structure of this formula in the dataset (eV per atom): 0.3563
# E (eV per cell): -13.14
# Crystal system: cubic
# Size of the total moment (μB per cell): 2.9


(4)
# Y3Er2Tm3 PBE optimized geometry
data_Y3Er2Tm3
_cell_length_a 5.5809
_cell_length_b 7.1922
_cell_length_c 7.1922
_cell_angle_alpha 59.98
_cell_angle_beta 90.00
_cell_angle_gamma 90.00
_symmetry_space_group_name_H-M 'P 1'
_symmetry_Int_Tables_number 1
_symmetry_space_group_name_Hall 'P 1'
loop_
_atom_site_label
_atom_site_type_symbol
_atom_site_fract_x
_atom_site_fract_y
_atom_site_fract_z
_atom_site_occupancy
Tm1 Tm 0.0000 0.3337 0.8338 1
Tm2 Tm 0.5000 0.1667 0.1667 1
Er1 Er 0.0000 0.3330 0.3330 1
Y1 Y 0.5000 0.1671 0.6664 1
Y2 Y 0.5000 0.6664 0.1671 1
Er2 Er 0.5000 0.6663 0.6663 1
Y3 Y 0.0000 0.8332 0.8332 1
Tm3 Tm 0.0000 0.8338 0.3337 1
# E (eV per cell): -41.92
# Crystal system: orthorhombic
# Calculated formation energy (eV per atom): 0.00
# Size of the total moment (μB per cell): 0.0


(5)
# Dy2Y3Er2Ni2Te2 PBE optimized geometry
data_Dy2Y3Er2Ni2Te2
_cell_length_a 9.3499
_cell_length_b 9.3499
_cell_length_c 9.3499
_cell_angle_alpha 156.25
_cell_angle_beta 66.96
_cell_angle_gamma 118.43
_symmetry_space_group_name_H-M 'P 1'
_symmetry_Int_Tables_number 1
_symmetry_space_group_name_Hall 'P 1'
loop_
_atom_site_label
_atom_site_type_symbol
_atom_site_fract_x
_atom_site_fract_y
_atom_site_fract_z
_atom_site_occupancy
Ni1 Ni 0.1436 0.4049 0.7387 1
Er1 Er 0.2637 0.8953 0.3684 1
Dy1 Dy 0.8921 0.7456 0.1465 1
Ni2 Ni 0.6663 0.4049 0.2613 1
Y1 Y 0.9126 0.0971 0.8156 1
Y2 Y 0.2815 0.0971 0.1844 1
Dy2 Dy 0.5991 0.7456 0.8535 1
Te1 Te 0.6412 0.1412 0.5000 1
Y3 Y 0.9773 0.4773 0.5000 1
Te2 Te 0.2418 0.2418 0.0000 1
Er2 Er 0.5269 0.8953 0.6316 1
# Excess energy over the best structure of this formula in the dataset (eV per atom): 0.0096
# E (eV per cell): -62.61
# Crystal system: orthorhombic
# Size of the total moment (μB per cell): 0.0


(6)
# Gd2Si2O7 PBE optimized geometry
data_Gd2Si2O7
_cell_length_a 4.6939
_cell_length_b 5.5994
_cell_length_c 10.9261
_cell_angle_alpha 90.00
_cell_angle_beta 90.00
_cell_angle_gamma 95.80
_symmetry_space_group_name_H-M 'P 1'
_symmetry_Int_Tables_number 1
_symmetry_space_group_name_Hall 'P 1'
loop_
_atom_site_label
_atom_site_type_symbol
_atom_site_fract_x
_atom_site_fract_y
_atom_site_fract_z
_atom_site_occupancy
O1 O 0.7915 0.1314 0.5532 1
Si1 Si 0.6400 0.3569 0.6127 1
O2 O 0.5000 0.5000 0.5000 1
O3 O 0.1223 0.9603 0.1825 1
O4 O 0.3828 0.2492 0.7030 1
O5 O 0.5000 0.0000 0.0000 1
O6 O 0.3828 0.7492 0.7970 1
O7 O 0.8777 0.5397 0.6825 1
O8 O 0.2085 0.3686 0.0532 1
O9 O 0.7915 0.6314 0.9468 1
O10 O 0.8777 0.0397 0.8175 1
O11 O 0.2085 0.8686 0.4468 1
Gd1 Gd 0.8838 0.0956 0.3513 1
Si2 Si 0.3600 0.1431 0.1127 1
O12 O 0.1223 0.4603 0.3175 1
O13 O 0.6172 0.7508 0.2970 1
Si3 Si 0.6400 0.8569 0.8873 1
O14 O 0.6172 0.2508 0.2030 1
Gd2 Gd 0.1162 0.4044 0.8513 1
Si4 Si 0.3600 0.6431 0.3873 1
Gd3 Gd 0.8838 0.5956 0.1487 1
Gd4 Gd 0.1162 0.9044 0.6487 1
# E (eV per cell): -180.26
# Crystal system: monoclinic
# Size of the total moment (μB per cell): 0.0